Record 1
Entry from Alexandria via LeMat-Bulk: Ti2BSe after structural relaxation (PBE-GGA).

Cell and atoms, written as CIF:
```
data_Ti2BSe
_cell_length_a 4.284
_cell_length_b 4.284
_cell_length_c 4.284
_cell_angle_alpha 60.00
_cell_angle_beta 60.00
_cell_angle_gamma 60.00
_space_group_name_H-M_alt 'P 1'
_space_group_IT_number 1
loop_
_space_group_symop_operation_xyz
'x,y,z'
loop_
_atom_site_label
_atom_site_type_symbol
_atom_site_fract_x
_atom_site_fract_y
_atom_site_fract_z
B1 B 0.000 0.000 0.000
Se1 Se 0.500 0.500 0.500
Ti1 Ti 0.250 0.250 0.250
Ti2 Ti 0.750 0.750 0.750
```

The uncorrected energy is -0.483 Ry/atom. The formation energy without anion corrections is -0.080 eV per atom.

***

Record 2
Entry from Alexandria via LeMat-Bulk: Ti3BSe after structural relaxation (PBE-GGA).

Cell and atoms, written as CIF:
```
data_Ti3BSe
_cell_length_a 4.273
_cell_length_b 4.273
_cell_length_c 4.273
_cell_angle_alpha 90.00
_cell_angle_beta 90.00
_cell_angle_gamma 90.00
_space_group_name_H-M_alt 'P 1'
_space_group_IT_number 1
loop_
_space_group_symop_operation_xyz
'x,y,z'
loop_
_atom_site_label
_atom_site_type_symbol
_atom_site_fract_x
_atom_site_fract_y
_atom_site_fract_z
B1 B 0.000 0.000 0.000
Se1 Se 0.500 0.500 0.500
Ti1 Ti 0.000 0.500 0.000
Ti2 Ti 0.000 0.000 0.500
Ti3 Ti 0.500 0.000 0.000
```

The uncorrected energy is -0.517 Ry/atom. The formation energy without anion corrections is -0.260 eV per atom.

***

Record 3
Entry from Alexandria via LeMat-Bulk: TiBW2Se after structural relaxation (PBE-GGA).

Cell and atoms, written as CIF:
```
data_TiBW2Se
_cell_length_a 4.576
_cell_length_b 4.532
_cell_length_c 4.576
_cell_angle_alpha 90.00
_cell_angle_beta 90.00
_cell_angle_gamma 90.00
_space_group_name_H-M_alt 'P 1'
_space_group_IT_number 1
loop_
_space_group_symop_operation_xyz
'x,y,z'
loop_
_atom_site_label
_atom_site_type_symbol
_atom_site_fract_x
_atom_site_fract_y
_atom_site_fract_z
B1 B 0.500 0.500 0.500
Se1 Se 0.000 0.000 0.000
W1 W 0.000 0.000 0.500
W2 W 0.500 0.000 0.000
Ti1 Ti 0.000 0.500 0.000
```

The uncorrected energy is -0.501 Ry/atom. The formation energy without anion corrections is 1.974 eV per atom.

***

Record 4
Entry from Alexandria via LeMat-Bulk: Tl2BSe3 after structural relaxation (PBE-GGA).

Cell and atoms, written as CIF:
```
data_Tl2BSe3
_cell_length_a 6.563
_cell_length_b 7.094
_cell_length_c 8.454
_cell_angle_alpha 75.65
_cell_angle_beta 67.16
_cell_angle_gamma 62.45
_space_group_name_H-M_alt 'P 1'
_space_group_IT_number 1
loop_
_space_group_symop_operation_xyz
'x,y,z'
loop_
_atom_site_label
_atom_site_type_symbol
_atom_site_fract_x
_atom_site_fract_y
_atom_site_fract_z
Tl1 Tl 0.205 0.419 0.172
Tl2 Tl 0.795 0.581 0.828
Tl3 Tl 0.405 0.788 0.401
Tl4 Tl 0.595 0.212 0.599
B1 B 0.900 0.029 0.171
B2 B 0.100 0.971 0.829
Se1 Se 0.240 0.000 0.000
Se2 Se 0.760 0.000 0.000
Se3 Se 0.107 0.174 0.612
Se4 Se 0.893 0.826 0.388
Se5 Se 0.284 0.643 0.789
Se6 Se 0.716 0.357 0.211
```

The uncorrected energy is -0.283 Ry/atom. The formation energy without anion corrections is -0.206 eV per atom.

***

Record 5
Entry from Alexandria via LeMat-Bulk: TlBSe3 after structural relaxation (PBE-GGA).

Cell and atoms, written as CIF:
```
data_TlBSe3
_cell_length_a 5.396
_cell_length_b 5.396
_cell_length_c 5.396
_cell_angle_alpha 90.00
_cell_angle_beta 90.00
_cell_angle_gamma 90.00
_space_group_name_H-M_alt 'P 1'
_space_group_IT_number 1
loop_
_space_group_symop_operation_xyz
'x,y,z'
loop_
_atom_site_label
_atom_site_type_symbol
_atom_site_fract_x
_atom_site_fract_y
_atom_site_fract_z
Tl1 Tl 0.000 0.000 0.000
B1 B 0.500 0.500 0.500
Se1 Se 0.000 0.500 0.000
Se2 Se 0.000 0.000 0.500
Se3 Se 0.500 0.000 0.000
```

The uncorrected energy is -0.176 Ry/atom. The formation energy without anion corrections is 1.511 eV per atom.

***

Record 6
Entry from Alexandria via LeMat-Bulk: Tl5BSe4 after structural relaxation (PBE-GGA).

Cell and atoms, written as CIF:
```
data_Tl5BSe4
_cell_length_a 7.776
_cell_length_b 10.084
_cell_length_c 8.118
_cell_angle_alpha 90.00
_cell_angle_beta 90.00
_cell_angle_gamma 90.00
_space_group_name_H-M_alt 'P 1'
_space_group_IT_number 1
loop_
_space_group_symop_operation_xyz
'x,y,z'
loop_
_atom_site_label
_atom_site_type_symbol
_atom_site_fract_x
_atom_site_fract_y
_atom_site_fract_z
Tl1 Tl 0.727 0.189 0.281
Tl2 Tl 0.727 0.189 0.719
Tl3 Tl 0.053 0.000 0.500
Tl4 Tl 0.727 0.811 0.281
Tl5 Tl 0.727 0.811 0.719
Tl6 Tl 0.273 0.689 0.219
Tl7 Tl 0.273 0.689 0.781
Tl8 Tl 0.947 0.500 0.000
Tl9 Tl 0.273 0.311 0.781
Tl10 Tl 0.273 0.311 0.219
B1 B 0.144 0.000 0.000
B2 B 0.856 0.500 0.500
Se1 Se 0.988 0.171 0.000
Se2 Se 0.300 0.000 0.209
Se3 Se 0.300 0.000 0.791
Se4 Se 0.988 0.829 0.000
Se5 Se 0.012 0.671 0.500
Se6 Se 0.700 0.500 0.291
Se7 Se 0.700 0.500 0.709
Se8 Se 0.012 0.329 0.500
```

The uncorrected energy is -0.259 Ry/atom. The formation energy without anion corrections is -0.284 eV per atom.

***

Record 7
Entry from Alexandria via LeMat-Bulk: Tl3BSe4 after structural relaxation (PBE-GGA).

Cell and atoms, written as CIF:
```
data_Tl3BSe4
_cell_length_a 6.801
_cell_length_b 6.646
_cell_length_c 10.467
_cell_angle_alpha 90.00
_cell_angle_beta 90.00
_cell_angle_gamma 90.00
_space_group_name_H-M_alt 'P 1'
_space_group_IT_number 1
loop_
_space_group_symop_operation_xyz
'x,y,z'
loop_
_atom_site_label
_atom_site_type_symbol
_atom_site_fract_x
_atom_site_fract_y
_atom_site_fract_z
Tl1 Tl 0.550 0.789 0.000
Tl2 Tl 0.005 0.734 0.252
Tl3 Tl 0.505 0.266 0.248
Tl4 Tl 0.050 0.211 0.500
Tl5 Tl 0.505 0.266 0.752
Tl6 Tl 0.005 0.734 0.748
B1 B 0.001 0.195 0.000
B2 B 0.501 0.805 0.500
Se1 Se 0.071 0.893 0.000
Se2 Se 0.701 0.257 0.000
Se3 Se 0.092 0.310 0.176
Se4 Se 0.592 0.690 0.324
Se5 Se 0.201 0.743 0.500
Se6 Se 0.571 0.107 0.500
Se7 Se 0.592 0.690 0.676
Se8 Se 0.092 0.310 0.824
```

The uncorrected energy is -0.270 Ry/atom. The formation energy without anion corrections is -0.210 eV per atom.

***

Record 8
Entry from Alexandria via LeMat-Bulk: TlB2Se after structural relaxation (PBE-GGA).

Cell and atoms, written as CIF:
```
data_TlB2Se
_cell_length_a 4.557
_cell_length_b 4.557
_cell_length_c 4.557
_cell_angle_alpha 60.00
_cell_angle_beta 60.00
_cell_angle_gamma 60.00
_space_group_name_H-M_alt 'P 1'
_space_group_IT_number 1
loop_
_space_group_symop_operation_xyz
'x,y,z'
loop_
_atom_site_label
_atom_site_type_symbol
_atom_site_fract_x
_atom_site_fract_y
_atom_site_fract_z
Tl1 Tl 0.500 0.500 0.500
B1 B 0.250 0.250 0.250
B2 B 0.750 0.750 0.750
Se1 Se 0.000 0.000 0.000
```

The uncorrected energy is -0.222 Ry/atom. The formation energy without anion corrections is 1.788 eV per atom.

***

Q: Among the records above, which one has the lowest uncorrected energy?
A: Ti3BSe